[1]
Computed, not measured: an optimized crystal structure of Sc2MnCuBi at the PBE level of DFT.

```
Sc2MnCuBi
1.0
4.945 0.000 0.000
0.000 4.945 0.000
0.000 0.000 4.624
Sc Mn Cu Bi
2 1 1 1
Cartesian
0.000 2.472 0.000
2.472 0.000 0.000
0.000 0.000 2.312
0.000 0.000 0.000
2.472 2.472 2.312
```

Values from the calculation:
Formation enthalpy at 0 K, eV per atom: 0.060



[2]
Computed, not measured: an optimized crystal structure of Ce2ScTaN5 at the PBE level of DFT.

```
Ce2ScTaN5
1.0
1.723 -6.737 0.000
1.723 6.737 0.000
0.000 0.000 10.417
Ce Sc Ta N
4 2 2 10
Cartesian
1.723 5.226 5.209
1.723 4.774 0.979
1.723 -4.774 6.188
1.723 -5.226 0.000
1.723 3.781 8.467
1.723 -3.781 3.259
1.723 0.372 2.852
1.723 -0.372 8.060
1.723 5.982 8.978
1.723 2.982 4.885
1.723 2.453 1.940
1.723 1.629 8.499
1.723 0.117 6.144
1.723 -0.117 0.935
1.723 -1.629 3.291
1.723 -2.453 7.149
1.723 -2.982 10.093
1.723 -5.982 3.770
```

Values from the calculation:
Formation energy without anion corrections, eV per atom: -1.437



[3]
Computed, not measured: an optimized crystal structure of Pr6Sm2Ho3Er at the PBE level of DFT.

```
Pr6Sm2Ho3Er
1.0
3.159 -5.472 0.000
3.159 5.472 0.000
-2.101 0.000 11.743
Pr Sm Ho Er
6 2 3 1
Cartesian
0.003 1.820 8.828
1.050 0.000 2.912
0.003 -1.820 8.828
4.214 1.820 2.915
3.166 0.000 8.832
4.214 -1.820 2.915
2.108 1.825 5.872
2.108 -1.825 5.872
3.159 3.649 0.000
3.159 0.000 0.000
3.159 -3.649 0.000
-1.050 0.000 5.872
```

Values from the calculation:
Formation enthalpy at 0 K, eV per atom: 0.012



[4]
Computed, not measured: an optimized crystal structure of Nd6Te3Ru at the PBE level of DFT.

```
Nd6Te3Ru
1.0
11.924 0.000 0.000
0.000 4.090 0.000
-3.391 0.000 12.924
Nd Te Ru
12 6 2
Cartesian
-0.977 1.023 4.516
-2.191 1.023 11.620
2.228 3.068 4.227
0.936 3.068 9.829
2.908 1.023 7.322
4.639 3.068 1.771
3.894 1.023 11.153
5.625 3.068 5.602
7.597 1.023 3.095
6.304 1.023 8.697
10.724 3.068 1.304
9.510 3.068 8.408
1.161 1.023 1.965
0.256 3.068 6.691
0.905 1.023 12.221
7.628 3.068 0.703
8.277 1.023 6.233
7.372 3.068 10.960
4.535 1.023 3.947
3.997 3.068 8.977
```

Values from the calculation:
Formation energy without anion corrections, eV per atom: -0.803



[5]
Computed, not measured: an optimized crystal structure of TiBeSnH2 at the PBE level of DFT.

```
TiBeSnH2
1.0
3.616 0.000 0.000
0.000 3.616 0.000
0.000 0.000 4.885
Ti Be Sn H
1 1 1 2
Cartesian
0.000 0.000 0.000
0.000 0.000 2.443
1.808 1.808 2.443
0.000 1.808 0.000
1.808 0.000 0.000
```

Values from the calculation:
VASP energy, eV/atom: -4.20



[6]
Computed, not measured: an optimized crystal structure of CeNF3 at the PBE level of DFT.

```
CeNF3
1.0
4.499 0.000 0.000
-1.478 4.662 0.000
-0.036 -0.016 7.544
Ce N F
2 2 6
Cartesian
0.300 0.336 1.889
2.684 4.310 5.655
-0.119 2.774 1.867
3.104 1.872 5.676
0.563 1.078 4.032
0.598 1.040 7.289
0.457 3.894 5.624
2.528 0.752 1.920
2.386 3.607 0.254
2.422 3.568 3.512
```

Values from the calculation:
Formation energy without anion corrections, eV per atom: -2.242



[7]
Computed, not measured: an optimized crystal structure of ZrTa4Os5 at the PBE level of DFT.

```
ZrTa4Os5
1.0
3.112 0.000 0.000
0.000 3.112 0.000
0.000 0.000 17.206
Zr Ta Os
1 4 5
Cartesian
0.000 0.000 0.000
0.000 0.000 3.533
0.000 0.000 6.919
0.000 0.000 10.286
0.000 0.000 13.672
1.556 1.556 2.037
1.556 1.556 5.254
1.556 1.556 8.603
1.556 1.556 11.952
1.556 1.556 15.169
```

Values from the calculation:
Formation enthalpy at 0 K, eV per atom: -0.302



[8]
Computed, not measured: an optimized crystal structure of CdTcBr2 at the PBE level of DFT.

```
CdTcBr2
1.0
3.251 0.000 0.000
0.000 3.251 0.000
0.000 0.000 9.704
Cd Tc Br
1 1 2
Cartesian
0.000 0.000 0.000
0.000 0.000 4.852
1.625 1.625 3.221
1.625 1.625 6.483
```

Values from the calculation:
Formation energy without anion corrections, eV per atom: 0.414



Please write out number 2 again, unchanged.
Computed, not measured: an optimized crystal structure of Ce2ScTaN5 at the PBE level of DFT.

```
Ce2ScTaN5
1.0
1.723 -6.737 0.000
1.723 6.737 0.000
0.000 0.000 10.417
Ce Sc Ta N
4 2 2 10
Cartesian
1.723 5.226 5.209
1.723 4.774 0.979
1.723 -4.774 6.188
1.723 -5.226 0.000
1.723 3.781 8.467
1.723 -3.781 3.259
1.723 0.372 2.852
1.723 -0.372 8.060
1.723 5.982 8.978
1.723 2.982 4.885
1.723 2.453 1.940
1.723 1.629 8.499
1.723 0.117 6.144
1.723 -0.117 0.935
1.723 -1.629 3.291
1.723 -2.453 7.149
1.723 -2.982 10.093
1.723 -5.982 3.770
```

Values from the calculation:
Formation energy without anion corrections, eV per atom: -1.437



- What is the formula in the eighth record?
  CdTcBr2



- Which formula does entry 2 have?
  Ce2ScTaN5